No. 1
Compound: Li2ScIn
Source: Alexandria
Functional: PBE
Structure: optimized geometry

```
Li2ScIn
1.0
3.300 0.000 0.000
0.000 4.967 0.000
0.000 0.000 5.184
Li Sc In
2 1 1
Direct
0.000 0.000 0.000
0.500 0.500 0.099
0.000 0.500 0.578
0.500 0.000 0.484
```

Computed properties:
The space-group type is No. 25. As for the formation enthalpy at 0 K: -14.8 kJ/mol of atoms. The value obtained for the total magnetic moment is 0.00 μB/f.u.

***

No. 2
Compound: Ba2LiF
Source: Alexandria
Functional: PBE
Structure: optimized geometry

```
Ba2LiF
1.0
0.000 4.123 4.123
4.123 0.000 4.123
4.123 4.123 0.000
Ba Li F
2 1 1
Direct
0.250 0.250 0.250
0.750 0.750 0.750
0.000 0.000 0.000
0.500 0.500 0.500
```

Computed properties:
The space-group type is No. 225. The value obtained for the total magnetic moment is 0.00 μB/f.u. As for the uncorrected formation energy: -0.81 eV per atom. For the relative energy among the computed polymorphs, the calculation gives 476 meV/atom.